Entry from Alexandria via LeMat-Bulk: BaMnFe2 at its PBEsol-relaxed geometry (SCAN).

a b c (Å): 6.664 6.664 6.664
angles (deg): 149.97 145.55 46.34
Fractional coordinates of all 4 atoms:
Ba 0.000 0.000 0.000
Mn 0.741 0.241 0.500
Fe 0.236 0.736 0.500
Fe 0.357 0.357 0.000

Results
The energy of formation comes out at 0.58 eV per atom. For the density of states at the Fermi level, the calculation gives 3.01 states/eV per cell. As for the total energy: -22.94 eV/atom. As for the total moment: 9.29 μB/f.u.